# 1
A plane-wave DFT calculation with PBE was carried out for KHfBr3 after structural relaxation.

```
5
Lattice="5.723 0.000 0.000 0.000 5.723 0.000 0.000 0.000 5.723" Properties=species:S:1:pos:R:3 pbc="T T T"
Br 0.000 2.861 0.000
Br 2.861 0.000 0.000
Br 0.000 0.000 2.861
K 0.000 0.000 0.000
Hf 2.861 2.861 2.861
```

Its space group is Pm-3m, No. 221. For the raw formation energy, the calculation gives 0.221 eV/atom. The total magnetic moment comes out at 1.97 Bohr magnetons per cell. Its distance to the lowest polymorph of the same formula is 6.03 eV per formula unit. For the total energy, the calculation gives -0.110 Ha/atom.



# 2
A plane-wave DFT calculation with PBE was carried out for K2HfBr5 after structural relaxation.

```
8
Lattice="-3.030 6.577 3.980 -6.548 0.034 -5.045 2.573 -6.053 3.389" Properties=species:S:1:pos:R:3 pbc="T T T"
K -2.722 1.793 3.546
K -4.481 -1.480 -0.967
Hf -6.799 0.813 2.059
Br -5.598 2.301 0.511
Br -3.909 5.006 2.130
Br -5.879 1.344 -2.923
Br -7.581 5.022 -0.690
Br -2.213 1.322 -0.097
```

Its space group is I4mm, No. 107. For the raw formation energy, the calculation gives -1.380 eV/atom. The total magnetic moment comes out at 1.00 Bohr magnetons per cell. For the total energy, the calculation gives -0.145 Ha/atom.



# 3
A plane-wave DFT calculation with PBE was carried out for KLiHfBr6 after structural relaxation.

```
18
Lattice="7.027 0.000 0.000 -3.513 6.085 0.000 0.000 0.000 14.564" Properties=species:S:1:pos:R:3 pbc="T T T"
K 0.000 0.000 7.282
K 0.000 0.000 0.000
Br 2.291 3.789 2.118
Br -1.222 2.296 9.400
Br 2.136 3.879 9.400
Br 5.650 2.206 2.118
Br 4.736 3.789 5.164
Br 1.222 2.296 12.446
Br 0.914 5.996 12.446
Br 2.599 0.089 2.118
Br -0.914 5.996 9.400
Br 4.427 0.089 5.164
Br -2.136 3.879 12.446
Br 1.377 2.206 5.164
Li 3.513 2.028 10.923
Li 0.000 4.057 3.641
Hf 0.000 4.057 10.923
Hf 3.513 2.028 3.641
```

Its space group is P-31c, No. 163. For the raw formation energy, the calculation gives -1.529 eV/atom. The total magnetic moment comes out at 0.00 Bohr magnetons per cell. For the total energy, the calculation gives -0.150 Ha/atom.



# 4
A plane-wave DFT calculation with PBE was carried out for K2LiHfBr6 after structural relaxation.

```
20
Lattice="7.606 0.000 0.000 3.803 6.587 0.000 3.803 2.196 12.709" Properties=species:S:1:pos:R:3 pbc="T T T"
Br 5.713 5.484 7.898
Br 9.499 3.298 4.811
Br 7.606 6.603 11.161
Br 7.606 2.205 7.898
Br 5.691 3.286 11.161
Br 5.713 3.298 4.811
Br 5.691 5.497 1.547
Br 7.606 2.180 1.547
Br 7.606 6.577 4.811
Br 9.521 3.286 11.161
Br 9.521 5.497 1.547
Br 9.499 5.484 7.898
K 3.803 2.196 1.273
K 11.409 6.587 11.435
K 11.409 6.587 4.825
K 3.803 2.196 7.883
Hf 7.606 4.391 6.354
Hf 0.000 0.000 0.000
Li 7.606 4.391 9.500
Li 7.606 4.391 3.209
```

Its space group is R-3m, No. 166. For the raw formation energy, the calculation gives -1.449 eV/atom. The total magnetic moment comes out at 2.01 Bohr magnetons per cell. For the total energy, the calculation gives -0.142 Ha/atom.



# 5
A plane-wave DFT calculation with PBE was carried out for KHfMoBr2 after structural relaxation.

```
5
Lattice="-4.067 3.612 -1.397 -4.307 -4.922 -0.186 -1.153 0.804 5.438" Properties=species:S:1:pos:R:3 pbc="T T T"
Mo -4.764 -0.253 1.927
Br -2.034 1.806 -0.698
Br -0.577 0.402 2.719
Hf -2.154 -2.461 -0.093
K 0.000 0.000 0.000
```

Its space group is P4/mmm, No. 123. For the raw formation energy, the calculation gives 1.523 eV/atom. The total magnetic moment comes out at 6.10 Bohr magnetons per cell. For the total energy, the calculation gives -0.129 Ha/atom.



# 6
A plane-wave DFT calculation with PBE was carried out for K2HfBrN after structural relaxation.

```
5
Lattice="5.925 0.000 0.000 0.000 5.091 0.000 0.000 0.000 5.925" Properties=species:S:1:pos:R:3 pbc="T T T"
K 0.000 0.000 2.963
K 2.963 0.000 0.000
Br 0.000 0.000 0.000
Hf 0.000 2.546 0.000
N 2.963 2.546 2.963
```

Its space group is P4/mmm, No. 123. For the raw formation energy, the calculation gives 1.260 eV/atom. The total magnetic moment comes out at 0.00 Bohr magnetons per cell. For the total energy, the calculation gives -0.116 Ha/atom.



# 7
A plane-wave DFT calculation with PBE was carried out for K2NaHfBr6 after structural relaxation.

```
20
Lattice="-6.686 3.711 -0.798 -6.435 -2.992 2.959 -2.043 6.998 12.621" Properties=species:S:1:pos:R:3 pbc="T T T"
Br -7.727 4.836 13.152
Br -10.715 1.357 3.138
Br -5.673 2.988 5.710
Br -4.449 6.360 11.645
Br -7.855 8.251 11.238
Br -6.301 6.212 7.605
Br -8.987 4.827 5.314
Br -6.176 2.890 9.468
Br -7.308 -0.534 3.544
Br -8.863 1.505 7.177
Br -9.490 4.729 9.072
Br -7.436 2.881 1.630
Hf -7.582 3.859 7.391
Hf 0.000 0.000 0.000
K -4.192 0.765 1.646
K -12.143 3.554 7.153
K -10.971 6.952 13.137
K -3.020 4.163 7.630
Na -6.992 5.570 10.405
Na -8.172 2.147 4.377
```

Its space group is R-3m, No. 166. For the raw formation energy, the calculation gives -1.449 eV/atom. The total magnetic moment comes out at 2.01 Bohr magnetons per cell. For the total energy, the calculation gives -0.140 Ha/atom.



# 8
A plane-wave DFT calculation with PBE was carried out for KNaHfBr6 after structural relaxation.

```
18
Lattice="7.420 0.000 0.000 -3.710 6.426 0.000 0.000 0.000 13.945" Properties=species:S:1:pos:R:3 pbc="T T T"
Br 2.551 3.942 1.957
Br 4.689 0.239 5.016
Br -2.138 4.180 11.988
Br -0.979 6.187 8.929
Br 1.572 2.246 5.016
Br 2.731 0.239 1.957
Br 0.979 6.187 11.988
Br 2.138 4.180 8.929
Br -1.159 2.484 8.929
Br 4.869 3.942 5.016
Br 5.848 2.246 1.957
Br 1.159 2.484 11.988
Hf 0.000 4.284 10.459
Hf 3.710 2.142 3.486
Na 3.710 2.142 10.459
Na 0.000 4.284 3.486
K 0.000 0.000 6.972
K 0.000 0.000 0.000
```

Its space group is P-31c, No. 163. For the raw formation energy, the calculation gives -1.539 eV/atom. The total magnetic moment comes out at 0.00 Bohr magnetons per cell. For the total energy, the calculation gives -0.148 Ha/atom.



# 9
A plane-wave DFT calculation with PBE was carried out for K2HfNbBr after structural relaxation.

```
5
Lattice="-3.668 4.439 -0.099 -3.572 -2.996 -2.024 -1.827 -1.391 5.282" Properties=species:S:1:pos:R:3 pbc="T T T"
Br 0.000 0.000 0.000
K -1.834 2.220 -0.050
K -0.913 -0.696 2.641
Nb -1.786 -1.498 -1.012
Hf -4.533 0.026 1.579
```

Its space group is P4/mmm, No. 123. For the raw formation energy, the calculation gives 1.212 eV/atom. The total magnetic moment comes out at 2.09 Bohr magnetons per cell. For the total energy, the calculation gives -0.131 Ha/atom.



# 10
A plane-wave DFT calculation with PBE was carried out for K2HfBr2O2 after structural relaxation.

```
7
Lattice="4.234 0.000 0.000 0.000 4.234 0.000 -2.117 -2.117 8.745" Properties=species:S:1:pos:R:3 pbc="T T T"
Hf 0.000 0.000 0.000
Br 0.000 0.000 2.786
Br 2.117 2.117 5.959
O 0.000 2.117 0.000
O 2.117 0.000 0.000
K 2.117 2.117 1.948
K 0.000 0.000 6.798
```

Its space group is I4/mmm, No. 139. For the raw formation energy, the calculation gives -2.228 eV/atom. The total magnetic moment comes out at 0.00 Bohr magnetons per cell. For the total energy, the calculation gives -0.215 Ha/atom.



# 11
A plane-wave DFT calculation with PBE was carried out for KHfOs2Br after structural relaxation.

```
5
Lattice="4.614 0.000 0.000 0.000 5.133 0.000 0.000 0.000 4.614" Properties=species:S:1:pos:R:3 pbc="T T T"
K 0.000 0.000 0.000
Os 0.000 0.000 2.307
Os 2.307 0.000 0.000
Hf 2.307 2.566 2.307
Br 0.000 2.566 0.000
```

Its space group is P4/mmm, No. 123. For the raw formation energy, the calculation gives 2.723 eV/atom. The total magnetic moment comes out at 0.00 Bohr magnetons per cell. For the total energy, the calculation gives -0.159 Ha/atom.



# 12
A plane-wave DFT calculation with PBE was carried out for K2HfOsBr after structural relaxation.

```
5
Lattice="6.581 0.000 0.000 0.000 4.546 0.000 0.000 0.000 6.581" Properties=species:S:1:pos:R:3 pbc="T T T"
Hf 3.290 2.273 3.290
Os 0.000 0.000 0.000
K 3.290 0.000 0.000
K 0.000 0.000 3.290
Br 0.000 2.273 0.000
```

Its space group is P4/mmm, No. 123. For the raw formation energy, the calculation gives 1.534 eV/atom. The total magnetic moment comes out at 2.27 Bohr magnetons per cell. For the total energy, the calculation gives -0.128 Ha/atom.